This record from the Alexandria database describes a relaxed structure of Rb2Ca2S3O12. The functional is GGA-PBEsol.

abc: 10.5976 10.5976 10.5976
angles: 90.00 90.00 90.00
With the nearest neighbours (Å) after each atom.
Space group P2_13 (No. 198)
Unique sites:
Rb 0.0496 0.0496 0.0496  6 O 2.98-3.10
Rb 0.1865 0.3135 0.6865  9 O 3.01-3.23
Ca 0.0916 0.9084 0.4084  6 O 2.29-2.33
Ca 0.1695 0.6695 0.8305  6 O 2.29-2.31
S 0.0104 0.2245 0.3748  4 O 1.48-1.49
O 0.0080 0.0938 0.3241  1 S 1.49
O 0.0131 0.0728 0.7336  1 S 1.48
O 0.0384 0.8129 0.2219  1 S 1.48
O 0.0888 0.8594 0.7600  1 S 1.48

- total DFT energy (no corrections) (eV per atom) = -6.472
- total magnetization (μB/atom) = 0.000
- ΔE_f (raw) (meV/atom) = -2132

***

This record from the Alexandria database describes a relaxed structure of CsIrW2. The functional is GGA-PBEsol.

abc: 6.5178 6.5178 6.5178
angles: 90.00 90.00 90.00
With the nearest neighbours (Å) after each atom.
Space group Fm-3m (No. 225)
Unique sites:
Cs 0.0000 0.0000 0.0000  8 W 2.82
Ir 0.0000 0.0000 0.5000  8 W 2.82
W 0.2500 0.2500 0.2500  4 Ir 2.82, 4 Cs 2.82

- DFT formation energy (eV/atom) = 1.729
- total DFT energy (no corrections) (eV per atom) = -7.867
- total magnetization (μB/atom) = 0.000

***

This record from the Alexandria database describes a relaxed structure of CsTe2Cl2. The functional is GGA-PBEsol.

abc: 9.5289 9.5289 3.3963
angles: 90.00 90.00 90.00
With the nearest neighbours (Å) after each atom.
Space group P4/mbm (No. 127)
Unique sites:
Cs 0.0000 0.0000 0.0000  2 Cs 3.40
Te 0.1002 0.3998 0.0000  1 Te 2.70
Cl 0.2121 0.7121 0.5000  2 Te 3.05, 2 Cl 3.40

- total DFT energy (no corrections) (eV per atom) = -2.900
- total magnetization (μB/atom) = 0.080
- ΔE_f (raw) (meV/atom) = -498

***

This record from the Alexandria database describes a relaxed structure of BaZrAu. The functional is GGA-PBEsol.

abc: 6.9452 6.9452 6.9452
angles: 90.00 90.00 90.00
With the nearest neighbours (Å) after each atom.
Space group F-43m (No. 216)
Unique sites:
Ba 0.0000 0.0000 0.0000  4 Zr 3.01, 4 Au 3.01
Zr 0.2500 0.2500 0.7500  4 Ba 3.01
Au 0.2500 0.2500 0.2500  4 Ba 3.01

- DFT formation energy (eV/atom) = 0.964
- total DFT energy (no corrections) (eV per atom) = -4.090
- total magnetization (μB/atom) = 0.000

***

This record from the Alexandria database describes a relaxed structure of Er3O2F5. The functional is GGA-PBEsol.

abc: 5.5274 16.8536 5.2795
angles: 90.00 90.00 90.00
With the nearest neighbours (Å) after each atom.
Space group Pnma (No. 62)
Unique sites:
Er 0.1737 0.0972 0.0379  2 O 2.16-2.18, 5 F 2.18-2.32
Er 0.2383 0.2500 0.4579  4 O 2.22-2.28, 4 F 2.24-2.43
O 0.0381 0.6685 0.7035  4 Er 2.16-2.28
F 0.1142 0.2500 0.8624  2 Er 2.24-2.28
F 0.1147 0.5138 0.7841  3 Er 2.24-2.32
F 0.1656 0.6263 0.1725  3 Er 2.18-2.43

- total DFT energy (no corrections) (eV per atom) = -7.580
- total magnetization (μB/atom) = 0.000
- ΔE_f (raw) (meV/atom) = -4089

***

This record from the Alexandria database describes a relaxed structure of ReAg3. The functional is GGA-PBEsol.

abc: 2.6489 4.2034 5.7098
angles: 90.00 90.00 90.00
With the nearest neighbours (Å) after each atom.
Space group Pmmm (No. 47)
Unique sites:
Re 0.0000 0.0000 0.0000  2 Re 2.65, 10 Ag 2.84-2.85
Ag 0.0000 0.0000 0.5000  10 Ag 2.65-2.89, 2 Re 2.85
Ag 0.5000 0.5000 0.2423  8 Ag 2.65-2.94, 4 Re 2.84

- DFT formation energy (eV/atom) = 0.590
- total DFT energy (no corrections) (eV per atom) = -5.226
- total magnetization (μB/atom) = 0.116

***

This record from the Alexandria database describes a relaxed structure of LiSeBr2F. The functional is GGA-PBEsol.

abc: 4.6283 4.6283 4.6464
angles: 90.00 90.00 90.00
With the nearest neighbours (Å) after each atom.
Space group P4/mmm (No. 123)
Unique sites:
Li 0.0000 0.0000 0.0000  4 Br 2.31, 2 Se 2.32
Se 0.0000 0.0000 0.5000  2 Li 2.32
Br 0.0000 0.5000 0.0000  2 Li 2.31
F 0.5000 0.5000 0.5000  4 Se 3.27, 8 Br 3.28

- total DFT energy (no corrections) (eV per atom) = -2.319
- total magnetization (μB/atom) = 0.000
- ΔE_f (raw) (meV/atom) = -22

***

This record from the Alexandria database describes a relaxed structure of Li3AgF. The functional is GGA-PBEsol.

abc: 4.8362 4.8362 4.8362
angles: 90.00 90.00 90.00
With the nearest neighbours (Å) after each atom.
Space group Pm-3m (No. 221)
Unique sites:
Li 0.0000 0.0000 0.5000  2 Ag 2.42
Ag 0.0000 0.0000 0.0000  6 Li 2.42
F 0.5000 0.5000 0.5000  12 Li 3.42

- total DFT energy (no corrections) (eV per atom) = -2.504
- total magnetization (μB/atom) = 0.000
- ΔE_f (raw) (meV/atom) = -276

***

This record from the Alexandria database describes a relaxed structure of Rb3HoO3. The functional is GGA-PBEsol.

abc: 7.5801 12.2070 7.1405
angles: 90.00 99.14 90.00
With the nearest neighbours (Å) after each atom.
Space group C2/m (No. 12)
Unique sites:
Rb 0.0000 0.2060 0.0000  2 O 2.75
Rb 0.0000 0.2579 0.5000  4 O 2.86-3.13
Rb 0.1400 0.5000 0.8613  1 O 2.62
Ho 0.1799 0.0000 0.6484  4 O 2.09-2.17
O 0.1015 0.0000 0.3427  2 Ho 2.14-2.17
O 0.1902 0.3597 0.2317  1 Ho 2.09

- total DFT energy (no corrections) (eV per atom) = -5.334
- total magnetization (μB/atom) = 0.014
- ΔE_f (raw) (meV/atom) = -1938

***

This record from the Alexandria database describes a relaxed structure of Sr2CaAsOs. The functional is GGA-PBEsol.

abc: 5.7161 5.7161 5.3495
angles: 90.00 90.00 90.00
With the nearest neighbours (Å) after each atom.
Space group P4/mmm (No. 123)
Unique sites:
Sr 0.0000 0.5000 0.0000  2 As 2.86
Ca 0.0000 0.0000 0.5000  2 As 2.67
As 0.0000 0.0000 0.0000  2 Ca 2.67, 4 Sr 2.86
Os 0.5000 0.5000 0.5000  8 Sr 3.91, 4 Ca 4.04

- DFT formation energy (eV/atom) = 0.616
- total DFT energy (no corrections) (eV per atom) = -4.011
- total magnetization (μB/atom) = 0.277

***

This record from the Alexandria database describes a relaxed structure of SrRe2GeTe. The functional is GGA-PBEsol.

abc: 4.8421 4.8421 5.7792
angles: 90.00 90.00 90.00
With the nearest neighbours (Å) after each atom.
Space group P4/mmm (No. 123)
Unique sites:
Sr 0.0000 0.0000 0.0000  2 Te 2.89
Re 0.0000 0.5000 0.5000  2 Te 2.42
Ge 0.5000 0.5000 0.0000  4 Sr 3.42, 8 Re 3.77
Te 0.0000 0.0000 0.5000  4 Re 2.42

- total DFT energy (no corrections) (eV per atom) = -5.616
- total magnetization (μB/atom) = 0.001
- ΔE_f (raw) (meV/atom) = 1778

***

This record from the Alexandria database describes a relaxed structure of HgMo2W. The functional is GGA-PBEsol.

abc: 3.2099 4.4806 9.1655
angles: 90.00 90.00 90.00
With the nearest neighbours (Å) after each atom.
Space group Cmm2 (No. 35)
Unique sites:
Hg 0.0000 0.0000 0.0000  4 Hg 2.76, 2 Mo 2.92, 2 W 2.94
Mo 0.0000 0.0000 0.4974  6 Mo 2.66-2.76, 2 W 2.68
Mo 0.0000 0.5000 0.2657  6 Mo 2.66-2.76, 2 Hg 2.92
W 0.0000 0.5000 0.7310  2 Mo 2.68, 4 W 2.76, 2 Hg 2.94

- DFT formation energy (eV/atom) = 0.338
- total DFT energy (no corrections) (eV per atom) = -9.139
- total magnetization (μB/atom) = 0.000

***

This record from the Alexandria database describes a relaxed structure of Be2PIr2. The functional is GGA-PBEsol.

abc: 6.4086 6.4086 2.8581
angles: 90.00 90.00 90.00
With the nearest neighbours (Å) after each atom.
Space group P4/mbm (No. 127)
Unique sites:
Be 0.1266 0.3734 0.0000  1 Be 2.29, 6 Ir 2.35-2.38
P 0.0000 0.0000 0.5000  4 Ir 2.39
Ir 0.1673 0.6673 0.5000  6 Be 2.35-2.38, 2 P 2.39

- DFT formation energy (eV/atom) = -0.266
- total DFT energy (no corrections) (eV per atom) = -6.954
- total magnetization (μB/atom) = 0.000

***

This record from the Alexandria database describes a relaxed structure of SnIrIO2. The functional is GGA-PBEsol.

abc: 4.1097 4.1097 5.3224
angles: 90.00 90.00 90.00
With the nearest neighbours (Å) after each atom.
Space group P4/mmm (No. 123)
Unique sites:
Sn 0.0000 0.0000 0.0000  4 I 2.91
Ir 0.5000 0.5000 0.5000  4 O 2.05
I 0.5000 0.5000 0.0000  2 Ir 2.66, 4 Sn 2.91
O 0.0000 0.5000 0.5000  2 Ir 2.05

- total DFT energy (no corrections) (eV per atom) = -5.129
- total magnetization (μB/atom) = 0.241
- ΔE_f (raw) (meV/atom) = 140

***

This record from the Alexandria database describes a relaxed structure of Na5CrO4. The functional is GGA-PBEsol.

abc: 7.1219 7.6147 5.4585
angles: 90.00 90.00 90.00
With the nearest neighbours (Å) after each atom.
Space group Pmmn (No. 59, origin choice 2)
Unique sites:
Na 0.0059 0.0606 0.2392  4 O 2.34-2.49
Na 0.2500 0.7500 0.3167  4 O 2.34-2.54
Cr 0.2500 0.2500 0.7035  4 O 1.82
O 0.0384 0.2500 0.8891  1 Cr 1.82
O 0.2500 0.0471 0.5269  1 Cr 1.82

- total DFT energy (no corrections) (eV per atom) = -5.238
- total magnetization (μB/atom) = 0.255
- ΔE_f (raw) (meV/atom) = -1414

***

This record from the Alexandria database describes a relaxed structure of SrTcOs2. The functional is GGA-PBEsol.

abc: 4.7804 4.7804 2.9440
angles: 90.00 90.00 90.00
With the nearest neighbours (Å) after each atom.
Space group P4/mmm (No. 123)
Unique sites:
Sr 0.0000 0.0000 0.0000  8 Os 2.81, 2 Sr 2.94
Tc 0.5000 0.5000 0.0000  8 Os 2.81, 2 Tc 2.94
Os 0.0000 0.5000 0.5000  4 Tc 2.81, 4 Sr 2.81, 2 Os 2.94

- DFT formation energy (eV/atom) = 1.186
- total DFT energy (no corrections) (eV per atom) = -8.199
- total magnetization (μB/atom) = 0.000

***

This record from the Alexandria database describes a relaxed structure of BaScAu3. The functional is GGA-PBEsol.

abc: 5.1549 5.1549 5.1549
angles: 90.00 90.00 90.00
With the nearest neighbours (Å) after each atom.
Space group Pm-3m (No. 221)
Unique sites:
Ba 0.0000 0.0000 0.0000  12 Au 3.65
Sc 0.5000 0.5000 0.5000  6 Au 2.58
Au 0.0000 0.5000 0.5000  2 Sc 2.58

- DFT formation energy (eV/atom) = -0.334
- total DFT energy (no corrections) (eV per atom) = -4.439
- total magnetization (μB/atom) = 0.000

***

This record from the Alexandria database describes a relaxed structure of SrTa2Br. The functional is GGA-PBEsol.

abc: 3.4828 3.4828 8.2572
angles: 90.00 90.00 90.00
With the nearest neighbours (Å) after each atom.
Space group P4mm (No. 99)
Unique sites:
Sr 0.0000 0.0000 0.0000  4 Br 3.12, 4 Sr 3.48, 4 Ta 3.49
Ta 0.0000 0.0000 0.4262  4 Ta 2.68
Ta 0.5000 0.5000 0.2988  4 Ta 2.68
Br 0.5000 0.5000 0.7680  4 Sr 3.12, 4 Br 3.48

- total DFT energy (no corrections) (eV per atom) = -7.060
- total magnetization (μB/atom) = 0.000
- ΔE_f (raw) (meV/atom) = 143

***

This record from the Alexandria database describes a relaxed structure of SrTlPO2. The functional is GGA-PBEsol.

abc: 4.3940 4.3940 4.9505
angles: 90.00 90.00 90.00
With the nearest neighbours (Å) after each atom.
Space group P4/mmm (No. 123)
Unique sites:
Sr 0.0000 0.0000 0.0000  4 P 3.11, 8 O 3.31
Tl 0.5000 0.5000 0.5000  4 O 2.20
P 0.5000 0.5000 0.0000  2 Tl 2.48
O 0.0000 0.5000 0.5000  2 Tl 2.20

- total DFT energy (no corrections) (eV per atom) = -4.555
- total magnetization (μB/atom) = 0.240
- ΔE_f (raw) (meV/atom) = -403

***

This record from the Alexandria database describes a relaxed structure of Re2NiBr. The functional is GGA-PBEsol.

abc: 3.3732 4.4754 4.8873
angles: 90.00 106.68 90.00
With the nearest neighbours (Å) after each atom.
Space group P2/m (No. 10)
Unique sites:
Re 0.1688 0.0000 0.3257  2 Re 2.30-2.39, 2 Ni 2.54
Ni 0.5000 0.5000 0.5000  4 Re 2.54, 2 Br 2.54
Br 0.0000 0.5000 0.0000  2 Ni 2.54, 4 Re 2.71

- total DFT energy (no corrections) (eV per atom) = -7.697
- total magnetization (μB/atom) = 0.000
- ΔE_f (raw) (meV/atom) = 976